{"formula": "Ba3Tc", "functional": "PBE", "state": "relaxed", "cell": [[3.918, -0.010, 0.000], [0.011, 3.918, 0.000], [0.000, 0.000, 11.014]], "species": ["Ba", "Ba", "Ba", "Tc"], "frac_coords": [[0.500, 0.500, 0.750], [0.000, 0.000, 0.077], [0.000, 0.000, 0.423], [0.500, 0.500, 0.250]], "total_energy_ev_per_atom": -3.348, "n_ef_per_ev_atom": 1.709, "space_group": "P4/mmm (123)", "formation_energy_ev_per_atom": 0.685, "magnetic_moment_mub_per_fu": 1.11}